PBE-GGA Sm2SiNi, relaxed; raw formation energy = -568 meV per atom
1.0
4.1484 0.0000 0.0000
0.0000 5.5053 -2.0434
0.0000 -0.0127 8.0175
Sm Ni Si
4 2 2
direct
0.2500 0.7792 0.5888
0.7500 0.2285 0.9471
0.7500 0.2208 0.4112
0.2500 0.7715 0.0529
0.2500 0.4220 0.2282
0.7500 0.5780 0.7718
0.7500 0.6585 0.2927
0.2500 0.3415 0.7073


PBE-GGA BaZnHg6, relaxed; ΔH_f (0 K) = -0.194 eV per atom
1.0
-2.9225 0.0311 -4.3791
-0.7390 -4.4570 -2.7034
-8.7294 -3.2621 2.6377
Ba Hg Zn
1 6 1
direct
0.5000 0.5000 0.5000
0.8996 0.8996 0.3013
0.7572 0.7572 0.7285
0.6388 0.6388 0.0836
0.3612 0.3612 0.9164
0.1004 0.1004 0.6987
0.2428 0.2428 0.2715
0.0000 0.0000 0.0000